First-principles (PBE-GGA) data for a relaxed structure of CdTcRu2, as listed in Alexandria via LeMat-Bulk.

## Properties
Formation enthalpy at 0 K = 0.3556 eV per atom
Total moment = 0.0 μB per cell
Calculated total energy = -56.82 eV per cell

Cell: 9.3606 2.8078 4.8413 Å, 90.00 101.59 90.00°
With the nearest neighbours (Å) after each atom.
Space group Cm (No. 8)
One atom of each set of equivalent atoms:
Cd  0.0000  0.0000  0.0000 (multiplicity 2)  7 Ru 2.74-2.87, 2 Cd 2.81, 3 Tc 2.88-2.99
Tc  0.2327  0.0000  0.6924 (multiplicity 2)  5 Ru 2.62-2.78, 2 Tc 2.81, 1 Cd 2.88
Ru  0.2619  0.5000  0.2498 (multiplicity 2)  2 Tc 2.62, 4 Ru 2.67-2.81, 3 Cd 2.74-2.87
Ru  0.4943  0.0000  0.5044 (multiplicity 2)  3 Tc 2.64-2.78, 4 Ru 2.67-2.81, 4 Cd 2.77-2.83

---

First-principles (PBE-GGA) data for a relaxed structure of NpTeO5, as listed in Alexandria via LeMat-Bulk.

## Properties
Total moment = 2.0 μB per cell
Uncorrected formation energy = -2.0110 eV/atom
Calculated total energy = -109.90 eV per cell

Cell: 5.8506 5.9105 8.1413 Å, 71.73 70.00 75.07°
With the nearest neighbours (Å) after each atom.
Space group P-1 (No. 2)
One atom of each set of equivalent atoms:
Np  0.0000  0.0000  0.0000 (multiplicity 1)  4 O 1.91-2.12
Np  0.0000  0.0000  0.5000 (multiplicity 1)  2 O 1.82
Te  0.4956  0.5537  0.2269 (multiplicity 2)  3 O 1.90-1.92
O  0.0819  0.9355  0.7689 (multiplicity 2)  1 Np 1.91
O  0.1981  0.2296  0.3929 (multiplicity 2)  1 Np 1.82
O  0.2658  0.2333  0.8960 (multiplicity 2)  1 Te 1.92, 1 Np 2.12
O  0.2932  0.6935  0.0671 (multiplicity 2)  1 Te 1.91
O  0.3093  0.7211  0.4085 (multiplicity 2)  1 Te 1.90

---

First-principles (PBE-GGA) data for a relaxed structure of LiAcUSe3, as listed in Alexandria via LeMat-Bulk.

## Properties
Total moment = 6.9 μB per cell
Uncorrected formation energy = -1.3926 eV/atom
Calculated total energy = -72.24 eV per cell

Cell: 8.7780 4.0964 9.1199 Å, 90.00 106.57 90.00°
With the nearest neighbours (Å) after each atom.
Space group P2_1/m (No. 11)
One atom of each set of equivalent atoms:
Li  0.0899  0.2500  0.0935 (multiplicity 2)  4 Se 2.51-2.56
Ac  0.1849  0.2500  0.7352 (multiplicity 2)  7 Se 3.10-3.24
U  0.3528  0.7500  0.3618 (multiplicity 2)  6 Se 2.91-3.03
Se  0.1081  0.2500  0.3730 (multiplicity 2)  1 Li 2.51
Se  0.2135  0.7500  0.0170 (multiplicity 2)  3 Li 2.51-2.56
Se  0.4371  0.7500  0.6980 (multiplicity 2)  3 U 2.91-2.94, 2 Ac 3.10

---

First-principles (PBE-GGA) data for a relaxed structure of PuNpPtAu, as listed in Alexandria via LeMat-Bulk.

## Properties
Formation enthalpy at 0 K = -0.3548 eV per atom
Total moment = 39.6 μB per cell
Calculated total energy = -152.04 eV per cell

Cell: 7.1164 7.1164 7.1164 Å, 90.00 90.00 90.00°
With the nearest neighbours (Å) after each atom.
Space group F-43m (No. 216)
One atom of each set of equivalent atoms:
Pu  0.0000  0.0000  0.0000 (multiplicity 4)  4 Au 3.08, 4 Pt 3.08
Np  0.0000  0.0000  0.5000 (multiplicity 4)  4 Pt 3.08, 4 Au 3.08
Pt  0.2500  0.2500  0.7500 (multiplicity 4)  4 Pu 3.08, 4 Np 3.08
Au  0.2500  0.2500  0.2500 (multiplicity 4)  4 Np 3.08, 4 Pu 3.08

---

First-principles (PBE-GGA) data for a relaxed structure of EuDyAgRu, as listed in Alexandria via LeMat-Bulk.

## Properties
Formation enthalpy at 0 K = -0.1361 eV per atom
Total moment = 27.3 μB per cell
Calculated total energy = -110.19 eV per cell

Cell: 7.1119 7.1119 7.1119 Å, 90.00 90.00 90.00°
With the nearest neighbours (Å) after each atom.
Space group F-43m (No. 216)
One atom of each set of equivalent atoms:
Eu  0.0000  0.0000  0.0000 (multiplicity 4)  4 Ru 3.08, 4 Ag 3.08
Dy  0.0000  0.0000  0.5000 (multiplicity 4)  4 Ru 3.08, 4 Ag 3.08
Ag  0.2500  0.2500  0.2500 (multiplicity 4)  4 Dy 3.08, 4 Eu 3.08
Ru  0.2500  0.2500  0.7500 (multiplicity 4)  4 Dy 3.08, 4 Eu 3.08

---

First-principles (PBE-GGA) data for a relaxed structure of AcTb2Lu, as listed in Alexandria via LeMat-Bulk.

## Properties
Formation enthalpy at 0 K = 0.1664 eV per atom
Total moment = 0.0 μB per cell
ΔE to the lowest computed polymorph = 104 meV/atom
Calculated total energy = -68.90 eV per cell

Cell: 8.2009 8.2009 8.2009 Å, 90.00 90.00 90.00°
With the nearest neighbours (Å) after each atom.
Space group Fm-3m (No. 225)
One atom of each set of equivalent atoms:
Ac  0.0000  0.0000  0.0000 (multiplicity 4)  8 Tb 3.55
Tb  0.2500  0.2500  0.2500 (multiplicity 8)  4 Lu 3.55, 4 Ac 3.55
Lu  0.0000  0.0000  0.5000 (multiplicity 4)  8 Tb 3.55

---

First-principles (PBE-GGA) data for a relaxed structure of Pr2Nd3Tm6, as listed in Alexandria via LeMat-Bulk.

## Properties
Formation enthalpy at 0 K = 0.1862 eV per atom
Total moment = 0.0 μB per cell
ΔE to the lowest computed polymorph = 0 meV/atom
Calculated total energy = -97.29 eV per cell

Cell: 6.1536 10.6713 11.6696 Å, 90.00 100.16 90.00°
With the nearest neighbours (Å) after each atom.
Space group C2/m (No. 12)
One atom of each set of equivalent atoms:
Pr  0.0000  0.1667  0.0000 (multiplicity 4)  6 Tm 3.53-3.54, 3 Pr 3.55-3.56
Nd  0.0000  0.0000  0.5000 (multiplicity 2)  6 Tm 3.53, 6 Nd 3.54-3.58
Nd  0.0000  0.3357  0.5000 (multiplicity 4)  6 Nd 3.51-3.58, 6 Tm 3.51-3.54
Tm  0.2491  0.5000  0.7495 (multiplicity 4)  3 Nd 3.51-3.53, 2 Pr 3.54, 6 Tm 3.55-3.56
Tm  0.2500  0.1664  0.7496 (multiplicity 8)  3 Nd 3.53-3.54, 2 Pr 3.53, 6 Tm 3.55-3.56

---

First-principles (PBE-GGA) data for a relaxed structure of Na3NbOs, as listed in Alexandria via LeMat-Bulk.

## Properties
Formation enthalpy at 0 K = 2.4933 eV per atom
Total moment = 8.0 μB per cell
ΔE to the lowest computed polymorph = 147 meV/atom
Calculated total energy = -12.79 eV per cell

Cell: 5.7068 5.7068 5.7068 Å, 90.00 90.00 90.00°
With the nearest neighbours (Å) after each atom.
Space group Pm-3m (No. 221)
One atom of each set of equivalent atoms:
Na  0.0000  0.0000  0.5000 (multiplicity 3)  2 Nb 2.85
Nb  0.0000  0.0000  0.0000 (multiplicity 1)  6 Na 2.85
Os  0.5000  0.5000  0.5000 (multiplicity 1)  12 Na 4.04

---

What is the formula in the third record?
LiAcUSe3

---

Please write out number 6 again, unchanged.
First-principles (PBE-GGA) data for a relaxed structure of AcTb2Lu, as listed in Alexandria via LeMat-Bulk.

## Properties
Formation enthalpy at 0 K = 0.1664 eV per atom
Total moment = 0.0 μB per cell
ΔE to the lowest computed polymorph = 104 meV/atom
Calculated total energy = -68.90 eV per cell

Cell: 8.2009 8.2009 8.2009 Å, 90.00 90.00 90.00°
With the nearest neighbours (Å) after each atom.
Space group Fm-3m (No. 225)
One atom of each set of equivalent atoms:
Ac  0.0000  0.0000  0.0000 (multiplicity 4)  8 Tb 3.55
Tb  0.2500  0.2500  0.2500 (multiplicity 8)  4 Lu 3.55, 4 Ac 3.55
Lu  0.0000  0.0000  0.5000 (multiplicity 4)  8 Tb 3.55